The following is a GGA-PBE calculation of a relaxed OsSICl2 crystal, from Alexandria.

The structure belongs to space group P4/mmm (No. 123); the cell edges are 4.932, 4.932 and 4.535 Å and the angles 90.00°, 90.00° and 90.00°. Symmetry generates all atoms from Os at (0.000, 0.000, 0.000), S at (0.000, 0.000, 0.500), I at (0.500, 0.500, 0.500) and Cl at (0.000, 0.500, 0.000).

The following is a GGA-PBE calculation of a relaxed ScOsI2Cl crystal, from Alexandria.

The structure belongs to space group P4/mmm (No. 123); the cell edges are 5.798, 5.798 and 4.838 Å and the angles 90.00°, 90.00° and 90.00°. Symmetry generates all atoms from Sc at (0.000, 0.000, 0.000), Os at (0.500, 0.500, 0.500), I at (0.000, 0.500, 0.000) and Cl at (0.000, 0.000, 0.500).

no.,total magnetization (μB per formula unit),formation energy without anion corrections (meV per atom),ρ (kg/m³)
1,0.00,341,6323
2,4.01,447,5354